Compound: Mn2FeCo
Source: Alexandria via LeMat-Bulk
Functional: PBEsol
Structure: optimized geometry

- polymorph energy (0 for the lowest one) (meV per atom) = 23.2
- density (g cm⁻³) = 9.1
- energy of formation (eV per atom) = 0.0521
- spin magnetization (μB/f.u.) = 0.8

Lattice parameters (Å, degrees): 2.425 2.425 6.952 90.00 90.00 90.00
Sites, in units of the cell vectors:
Mn: 0.000 0.000 0.000
Mn: 0.500 0.500 0.260
Fe: 0.500 0.500 0.754
Co: 0.000 0.000 0.499